# CsTiCr2O8 | Alexandria via LeMat-Bulk | GGA+U | relaxed
data_CsTiCr2O8
_chemical_formula_sum 'Cs2 Ti2 Cr4 O16'
_space_group_name_H-M_alt 'C 1 2/m 1'
_space_group_IT_number 12
_space_group_name_Hall '-C 2y'
_cell_length_a 9.3148
_cell_length_b 5.5617
_cell_length_c 8.5544
_cell_angle_alpha 90.00
_cell_angle_beta 93.25
_cell_angle_gamma 90.00
loop_
_atom_site_label
_atom_site_fract_x
_atom_site_fract_y
_atom_site_fract_z
Cs1 0.0000 0.0000 0.0000
Ti1 0.0000 0.0000 0.5000
Cr1 0.1443 0.5000 0.3038
O1 0.0498 0.2476 0.3471
O2 0.1742 0.5000 0.1176
O3 0.1975 0.0000 0.5877
# - crystal system = monoclinic
# - E_tot (eV/cell) = -169.92